Material: PaMoPb2O8
Method: DFT, PBE+U
State: relaxed

* space group: P2/m, No. 10
* DOS at the Fermi energy: 6.8 states/eV per cell
* spin magnetization: 0.000 μB/atom
* crystal system: monoclinic
* E: -7.18 eV/atom

a = 5.3218 Å, b = 5.3162 Å, c = 6.7808 Å
α = 89.99°, β = 90.00°, γ = 91.28°
Fractional coordinates of all 12 atoms:
Mo (0.0000, 0.0000, 0.0000)
Pb (0.5001, 0.5000, 0.7605)
Pb (0.4999, 0.5000, 0.2395)
O (0.1688, 0.8298, 0.2247)
O (0.8312, 0.1702, 0.2246)
O (0.1688, 0.8298, 0.7754)
O (0.7432, 0.7448, 0.0000)
O (0.8312, 0.1702, 0.7753)
O (0.2786, 0.2775, 0.5000)
O (0.2568, 0.2552, 0.0000)
O (0.7214, 0.7225, 0.5000)
Pa (0.0000, 0.0000, 0.5000)